MgB2C2: optimized geometry, PBE.

```
data_MgB2C2
_cell_length_a 4.642
_cell_length_b 7.268
_cell_length_c 2.776
_cell_angle_alpha 90.00
_cell_angle_beta 90.00
_cell_angle_gamma 90.00
_space_group_name_H-M_alt 'P n n m'
_space_group_IT_number 58
_space_group_name_Hall '-P 2 2n'
loop_
_atom_site_label
_atom_site_fract_x
_atom_site_fract_y
_atom_site_fract_z
_atom_site_occupancy
Mg1 0.000 0.000 0.000 1
B1 0.122 0.269 0.500 1
C1 0.210 0.778 0.500 1
```

## Properties
raw total energy	-6.8188	eV/atom
energy of formation from the pure elements	-139	meV/atom